(P)
## NbInCu2Tc (PBE-GGA)

Data for a geometry-optimized NbInCu2Tc structure.

Cell and atoms, written as CIF:
```
data_NbInCu2Tc
_chemical_formula_sum 'Nb1 In1 Cu2 Tc1'
_cell_length_a 4.525
_cell_length_b 4.525
_cell_length_c 5.023
_cell_angle_alpha 90.00
_cell_angle_beta 90.00
_cell_angle_gamma 90.00
_symmetry_space_group_name_H-M 'P 4/m m m'
_symmetry_Int_Tables_number 123
_symmetry_space_group_name_Hall '-P 4 2'
loop_
_atom_site_label
_atom_site_type_symbol
_atom_site_fract_x
_atom_site_fract_y
_atom_site_fract_z
Nb1 Nb 0.000 0.000 0.000
In1 In 0.500 0.500 0.500
Cu1 Cu 0.000 0.500 0.500
Tc1 Tc 0.500 0.500 0.000
```

Output
calculated volume: 20.57 Å³/atom
crystal system: tetragonal



(Q)
## NbInCu2Tc (PBE-GGA)

Data for a geometry-optimized NbInCu2Tc structure.

Cell and atoms, written as CIF:
```
data_NbInCu2Tc
_chemical_formula_sum 'Nb1 In1 Cu2 Tc1'
_cell_length_a 4.760
_cell_length_b 4.760
_cell_length_c 4.620
_cell_angle_alpha 90.00
_cell_angle_beta 90.00
_cell_angle_gamma 90.00
_symmetry_space_group_name_H-M 'P 4/m m m'
_symmetry_Int_Tables_number 123
_symmetry_space_group_name_Hall '-P 4 2'
loop_
_atom_site_label
_atom_site_type_symbol
_atom_site_fract_x
_atom_site_fract_y
_atom_site_fract_z
Nb1 Nb 0.000 0.000 0.000
In1 In 0.500 0.500 0.000
Cu1 Cu 0.000 0.500 0.500
Tc1 Tc 0.000 0.000 0.500
```

Output
calculated volume: 20.93 Å³/atom
crystal system: tetragonal



Winner for stability: (Q)



(P)
## NbInCuTe (PBE-GGA)

Data for a geometry-optimized NbInCuTe structure.

Cell and atoms, written as CIF:
```
data_NbInCuTe
_chemical_formula_sum 'Nb2 In2 Cu2 Te2'
_cell_length_a 9.936
_cell_length_b 3.458
_cell_length_c 5.507
_cell_angle_alpha 90.00
_cell_angle_beta 118.03
_cell_angle_gamma 90.00
_symmetry_space_group_name_H-M 'C 1 m 1'
_symmetry_Int_Tables_number 8
loop_
_symmetry_equiv_pos_as_xyz
'x,y,z'
'x,-y,z'
'x+1/2,y+1/2,z'
'x+1/2,-y+1/2,z'
loop_
_atom_site_label
_atom_site_type_symbol
_atom_site_fract_x
_atom_site_fract_y
_atom_site_fract_z
Nb1 Nb 0.000 0.000 0.000
In1 In 0.234 0.500 0.454
Cu1 Cu 0.482 0.000 0.571
Te1 Te 0.287 0.000 0.005
```

Output
calculated volume: 20.88 Å³/atom
crystal system: monoclinic



(Q)
## NbInCuTe (PBE-GGA)

Data for a geometry-optimized NbInCuTe structure.

Cell and atoms, written as CIF:
```
data_NbInCuTe
_chemical_formula_sum 'Nb2 In2 Cu2 Te2'
_cell_length_a 3.711
_cell_length_b 3.827
_cell_length_c 11.422
_cell_angle_alpha 90.00
_cell_angle_beta 90.00
_cell_angle_gamma 90.00
_symmetry_space_group_name_H-M 'A m m 2'
_symmetry_Int_Tables_number 38
loop_
_symmetry_equiv_pos_as_xyz
'x,y,z'
'-x,-y,z'
'-x,y,z'
'x,-y,z'
'x,y+1/2,z+1/2'
'-x,-y+1/2,z+1/2'
'-x,y+1/2,z+1/2'
'x,-y+1/2,z+1/2'
loop_
_atom_site_label
_atom_site_type_symbol
_atom_site_fract_x
_atom_site_fract_y
_atom_site_fract_z
Nb1 Nb 0.000 0.000 0.000
In1 In 0.000 0.000 0.709
Cu1 Cu 0.500 0.000 0.173
Te1 Te 0.500 0.000 0.405
```

Output
calculated volume: 20.28 Å³/atom
crystal system: orthorhombic



Winner for stability: (Q)